! Pr6Dy2Tm (PBE, optimized geometry); values from VASP
! energy above the lowest structure with this stoichiometry	47	meV/atom
! total energy	-41.20	eV for the cell shown
! total magnetic moment	0.000	μB per atom
&SYSTEM
  ibrav = 0, nat = 9, ntyp = 3
/
ATOMIC_SPECIES
Pr 140.91 Pr.upf
Dy 162.50 Dy.upf
Tm 168.93 Tm.upf
CELL_PARAMETERS angstrom
-3.381 1.184 0.854
0.597 -4.722 8.913
3.618 4.262 8.417
ATOMIC_POSITIONS crystal
Pr 0.000 0.160 0.509
Pr 0.500 0.685 0.315
Pr 0.500 0.315 0.685
Pr 0.000 0.509 0.160
Pr 0.000 0.491 0.840
Pr 0.000 0.840 0.491
Dy 0.500 0.174 0.174
Dy 0.500 0.826 0.826
Tm 0.000 0.000 0.000

! Pr2DyTm3 (PBE, optimized geometry); values from VASP
! total energy	-53.65	eV for the cell shown
! total magnetic moment	0.000	μB per atom
&SYSTEM
  ibrav = 0, nat = 12, ntyp = 3
/
ATOMIC_SPECIES
Tm 168.93 Tm.upf
Pr 140.91 Pr.upf
Dy 162.50 Dy.upf
CELL_PARAMETERS angstrom
-2.819 0.820 1.902
-5.233 -7.268 -1.404
2.718 -7.296 10.391
ATOMIC_POSITIONS crystal
Tm 0.961 0.872 0.206
Tm 0.598 0.830 0.974
Tm 0.039 0.128 0.794
Tm 0.402 0.170 0.026
Tm 0.737 0.819 0.708
Tm 0.263 0.181 0.292
Pr 0.655 0.159 0.532
Pr 0.819 0.482 0.879
Pr 0.345 0.841 0.468
Pr 0.181 0.518 0.121
Dy 0.563 0.517 0.358
Dy 0.437 0.483 0.642

! PrDyTm (PBE, optimized geometry); values from VASP
! energy above the lowest structure with this stoichiometry	7	meV/atom
! total energy	-13.77	eV for the cell shown
! total magnetic moment	0.000	μB per atom
&SYSTEM
  ibrav = 0, nat = 3, ntyp = 3
/
ATOMIC_SPECIES
Pr 140.91 Pr.upf
Dy 162.50 Dy.upf
Tm 168.93 Tm.upf
CELL_PARAMETERS angstrom
-1.755 2.768 -1.461
-3.036 -1.099 1.565
4.001 3.397 6.037
ATOMIC_POSITIONS crystal
Pr 0.001 0.001 0.001
Dy 0.330 0.330 0.661
Tm 0.669 0.669 0.338

> What is the total magnetic moment in the third record?

0.000 μB per atom